Mn3BeO: relaxed, PBE with a Hubbard U.

a = 4.2368 Å, b = 4.2368 Å, c = 4.2368 Å
α = 90.00°, β = 90.00°, γ = 90.00°
With the nearest neighbours (Å) after each atom.
Space group Pm-3m (No. 221)
Inequivalent atoms, fractional coordinates:
Mn (0.0000, 0.0000, 0.5000)  2 O 2.12
Be (0.5000, 0.5000, 0.5000)  12 Mn 3.00
O (0.0000, 0.0000, 0.0000)  6 Mn 2.12

Summary:
Volume = 15.2 Å³ per atom
Raw total energy = -6.2290 eV per atom
M_tot = 13.08 Bohr magnetons per cell